The following is a GGA-PBE calculation of crystalline LiSiBiO4 at its relaxed geometry, from Alexandria.

Output
Distance to the lowest polymorph of the same formula (eV/f.u.): 0.47
Total energy (eV/atom): -6.495
V (Å³/atom): 13.61
Formation energy without anion corrections (eV/atom): -2.059
Density of states at the Fermi level (states/eV/f.u.): 0.000
Symmetry: No. 33

Lattice parameters (Å, degrees): 4.9522 7.2726 10.5822 90.00 90.00 90.00
Closest atoms and distances in Å follow each position.
Atoms (fractional coordinates):
Bi1 0.2257 0.7426 0.1239  4 O 2.18-2.39
Bi2 0.2257 0.7574 0.6239  4 O 2.18-2.39
Bi3 0.7257 0.2426 0.3761  4 O 2.18-2.39
Bi4 0.7257 0.2574 0.8761  4 O 2.18-2.39
O1 0.6301 0.5509 0.3416  1 Si 1.64
O2 0.6684 0.5781 0.8355  1 Si 1.63
O3 0.6443 0.7664 0.0623  1 Si 1.68
O4 0.0840 0.7160 0.4281  1 Si 1.68
O5 0.1301 0.4491 0.6584  1 Si 1.64
O6 0.6301 0.9491 0.8416  1 Si 1.64
O7 0.6443 0.7336 0.5623  1 Si 1.68
O8 0.5840 0.2840 0.5719  1 Si 1.68
O9 0.0840 0.7840 0.9281  1 Si 1.68
O10 0.1443 0.2664 0.4377  1 Si 1.68
O11 0.1443 0.2336 0.9377  1 Si 1.68
O12 0.1684 0.0781 0.6645  1 Si 1.63
O13 0.5840 0.2160 0.0719  1 Si 1.68
O14 0.1301 0.0509 0.1584  1 Si 1.64
O15 0.1684 0.4219 0.1645  1 Si 1.63
O16 0.6684 0.9219 0.3355  1 Si 1.63
Li1 0.2416 0.0051 0.8436  4 O 1.97-2.00
Li2 0.7416 0.9949 0.1564  4 O 1.97-2.00
Li3 0.7416 0.5051 0.6564  4 O 1.97-2.00
Li4 0.2416 0.4949 0.3436  4 O 1.97-2.00
Si1 0.2482 0.2352 0.0885  4 O 1.63-1.68
Si2 0.7482 0.7648 0.9115  4 O 1.63-1.68
Si3 0.7482 0.7352 0.4115  4 O 1.63-1.68
Si4 0.2482 0.2648 0.5885  4 O 1.63-1.68

---

The following is a GGA-PBE calculation of crystalline LiSiBiO4 at its relaxed geometry, from Alexandria.

Output
Distance to the lowest polymorph of the same formula (eV/f.u.): 0.29
Total energy (eV/atom): -6.522
V (Å³/atom): 14.33
Formation energy without anion corrections (eV/atom): -2.086
Density of states at the Fermi level (states/eV/f.u.): 0.000
Symmetry: No. 159

Lattice parameters (Å, degrees): 5.1290 5.1290 8.8063 90.00 90.00 120.00
Closest atoms and distances in Å follow each position.
Atoms (fractional coordinates):
O1 0.3498 0.3040 0.0189  1 Si 1.66
O2 0.0457 0.6960 0.5189  1 Si 1.66
O3 0.6502 0.9543 0.5189  1 Si 1.66
O4 0.6667 0.3333 0.7706  1 Si 1.61
O5 0.9543 0.6502 0.0189  1 Si 1.66
O6 0.3333 0.6667 0.2706  1 Si 1.61
O7 0.3040 0.3498 0.5189  1 Si 1.66
O8 0.6960 0.0457 0.0189  1 Si 1.66
Si1 0.3333 0.6667 0.4536  4 O 1.61-1.66
Si2 0.6667 0.3333 0.9536  4 O 1.61-1.66
Li1 0.3333 0.6667 0.0581  4 O 1.87-1.93
Li2 0.6667 0.3333 0.5581  4 O 1.87-1.93
Bi1 0.0000 0.0000 0.6723  3 O 2.16
Bi2 0.0000 0.0000 0.1723  3 O 2.16

---

The following is a GGA-PBE calculation of crystalline LiSiBiO4 at its relaxed geometry, from Alexandria.

Output
Distance to the lowest polymorph of the same formula (eV/f.u.): 0.04
Total energy (eV/atom): -6.557
V (Å³/atom): 12.64
Formation energy without anion corrections (eV/atom): -2.122
Density of states at the Fermi level (states/eV/f.u.): 0.000
Symmetry: No. 33

Lattice parameters (Å, degrees): 5.2273 7.9581 8.5105 90.00 90.00 90.00
Closest atoms and distances in Å follow each position.
Atoms (fractional coordinates):
O1 0.8384 0.2599 0.8992  1 Si 1.67
O2 0.2487 0.8594 0.4366  1 Si 1.66
O3 0.7922 0.2844 0.2148  1 Si 1.63
O4 0.5925 0.4554 0.5814  1 Si 1.65
O5 0.3384 0.7401 0.1008  1 Si 1.67
O6 0.7487 0.6406 0.9366  1 Si 1.66
O7 0.2922 0.7156 0.7852  1 Si 1.63
O8 0.2487 0.3594 0.0634  1 Si 1.66
O9 0.8384 0.7599 0.6008  1 Si 1.67
O10 0.0925 0.5446 0.4186  1 Si 1.65
O11 0.3384 0.2401 0.3992  1 Si 1.67
O12 0.7487 0.1406 0.5634  1 Si 1.66
O13 0.0925 0.0446 0.0814  1 Si 1.65
O14 0.5925 0.9554 0.9186  1 Si 1.65
O15 0.2922 0.2156 0.7148  1 Si 1.63
O16 0.7922 0.7844 0.2852  1 Si 1.63
Bi1 0.4542 0.9810 0.2428  4 O 2.19-2.39
Bi2 0.9542 0.5190 0.7428  4 O 2.19-2.39
Bi3 0.9542 0.0190 0.7572  4 O 2.19-2.39
Bi4 0.4542 0.4810 0.2572  4 O 2.19-2.39
Si1 0.9878 0.2405 0.0717  4 O 1.63-1.67
Si2 0.9878 0.7405 0.4283  4 O 1.63-1.67
Si3 0.4878 0.2595 0.5717  4 O 1.63-1.67
Si4 0.4878 0.7595 0.9283  4 O 1.63-1.67
Li1 0.4696 0.7042 0.5832  4 O 1.96-2.10
Li2 0.9696 0.2958 0.4168  4 O 1.96-2.10
Li3 0.9696 0.7958 0.0832  4 O 1.96-2.10
Li4 0.4696 0.2042 0.9168  4 O 1.96-2.10

---

The following is a GGA-PBE calculation of crystalline LiSiBiO4 at its relaxed geometry, from Alexandria.

Output
Distance to the lowest polymorph of the same formula (eV/f.u.): 0.05
Total energy (eV/atom): -6.555
V (Å³/atom): 13.24
Formation energy without anion corrections (eV/atom): -2.119
Density of states at the Fermi level (states/eV/f.u.): 0.000
Symmetry: No. 14

Lattice parameters (Å, degrees): 6.3997 5.6340 11.1971 66.68 90.00 90.00
Closest atoms and distances in Å follow each position.
Atoms (fractional coordinates):
Li1 0.8658 0.9284 0.4275  4 O 2.00-2.10
Li2 0.3658 0.0716 0.0725  4 O 2.00-2.10
Li3 0.6342 0.9284 0.9275  4 O 2.00-2.10
Li4 0.1342 0.0716 0.5725  4 O 2.00-2.10
Si1 0.3500 0.9082 0.3601  4 O 1.64-1.68
Si2 0.8500 0.0918 0.1399  4 O 1.64-1.68
Si3 0.6500 0.0918 0.6399  4 O 1.64-1.68
Si4 0.1500 0.9082 0.8601  4 O 1.64-1.68
O1 0.1646 0.8297 0.4707  1 Si 1.64
O2 0.8354 0.1703 0.5293  1 Si 1.64
O3 0.1592 0.7700 0.7538  1 Si 1.66
O4 0.3354 0.8297 0.9707  1 Si 1.64
O5 0.3408 0.7700 0.2538  1 Si 1.66
O6 0.4320 0.2194 0.5550  1 Si 1.68
O7 0.8408 0.2300 0.2462  1 Si 1.66
O8 0.9320 0.7806 0.9450  1 Si 1.68
O9 0.1340 0.2234 0.7784  1 Si 1.65
O10 0.6646 0.1703 0.0293  1 Si 1.64
O11 0.6340 0.7766 0.7216  1 Si 1.65
O12 0.8660 0.7766 0.2216  1 Si 1.65
O13 0.6592 0.2300 0.7462  1 Si 1.66
O14 0.3660 0.2234 0.2784  1 Si 1.65
O15 0.0680 0.2194 0.0550  1 Si 1.68
O16 0.5680 0.7806 0.4450  1 Si 1.68
Bi1 0.1146 0.5535 0.1509  7 O 2.35-2.53
Bi2 0.3854 0.5535 0.6509  7 O 2.35-2.53
Bi3 0.6146 0.4465 0.3491  7 O 2.35-2.53
Bi4 0.8854 0.4465 0.8491  7 O 2.35-2.53

---

The following is a GGA-PBE calculation of crystalline LiSiBiO4 at its relaxed geometry, from Alexandria.

Output
Distance to the lowest polymorph of the same formula (eV/f.u.): 0.34
Total energy (eV/atom): -6.514
V (Å³/atom): 14.06
Formation energy without anion corrections (eV/atom): -2.079
Density of states at the Fermi level (states/eV/f.u.): 0.000
Symmetry: No. 148

Lattice parameters (Å, degrees): 8.6716 8.6716 8.6716 103.18 103.18 103.18
Closest atoms and distances in Å follow each position.
Atoms (fractional coordinates):
O1 0.6936 0.7327 0.0095  1 Si 1.62
O2 0.3354 0.5573 0.2788  1 Li 2.08, 1 Bi 2.12
O3 0.9301 0.2561 0.6198  1 Si 1.62
O4 0.2561 0.6198 0.9301  1 Si 1.62
O5 0.0095 0.6936 0.7327  1 Si 1.62
O6 0.2673 0.9905 0.3064  1 Si 1.62
O7 0.0443 0.7384 0.0587  2 Si 1.68-1.69
O8 0.0587 0.0443 0.7384  2 Si 1.68-1.69
O9 0.7439 0.3802 0.0699  1 Si 1.62
O10 0.5573 0.2788 0.3354  1 Li 2.08, 1 Bi 2.12
O11 0.9905 0.3064 0.2673  1 Si 1.62
O12 0.6198 0.9301 0.2561  1 Si 1.62
O13 0.7212 0.6646 0.4427  1 Li 2.08, 1 Bi 2.12
O14 0.6646 0.4427 0.7212  1 Li 2.08, 1 Bi 2.12
O15 0.2616 0.9413 0.9557  2 Si 1.68-1.69
O16 0.9557 0.2616 0.9413  2 Si 1.68-1.69
O17 0.0699 0.7439 0.3802  1 Si 1.62
O18 0.7384 0.0587 0.0443  2 Si 1.68-1.69
O19 0.9413 0.9557 0.2616  2 Si 1.68-1.69
O20 0.7327 0.0095 0.6936  1 Si 1.62
O21 0.3802 0.0699 0.7439  1 Si 1.62
O22 0.3064 0.2673 0.9905  1 Si 1.62
O23 0.4427 0.7212 0.6646  1 Li 2.08, 1 Bi 2.12
O24 0.2788 0.3354 0.5573  1 Li 2.08, 1 Bi 2.12
Bi1 0.5574 0.8115 0.4565  3 O 2.12-2.31
Bi2 0.4565 0.5574 0.8115  3 O 2.12-2.31
Bi3 0.4426 0.1885 0.5435  3 O 2.12-2.31
Bi4 0.5435 0.4426 0.1885  3 O 2.12-2.31
Bi5 0.1885 0.5435 0.4426  3 O 2.12-2.31
Bi6 0.8115 0.4565 0.5574  3 O 2.12-2.31
Si1 0.9136 0.1442 0.7452  4 O 1.62-1.69
Si2 0.0864 0.8558 0.2548  4 O 1.62-1.69
Si3 0.2548 0.0864 0.8558  4 O 1.62-1.69
Si4 0.7452 0.9136 0.1442  4 O 1.62-1.69
Si5 0.1442 0.7452 0.9136  4 O 1.62-1.69
Si6 0.8558 0.2548 0.0864  4 O 1.62-1.69
Li1 0.5607 0.9652 0.8094  4 O 1.99-2.10
Li2 0.0348 0.1906 0.4393  4 O 1.99-2.10
Li3 0.1906 0.4393 0.0348  4 O 1.99-2.10
Li4 0.9652 0.8094 0.5607  4 O 1.99-2.10
Li5 0.4393 0.0348 0.1906  4 O 1.99-2.10
Li6 0.8094 0.5607 0.9652  4 O 1.99-2.10

---

The following is a GGA-PBE calculation of crystalline LiSiBiO4 at its relaxed geometry, from Alexandria.

Output
Distance to the lowest polymorph of the same formula (eV/f.u.): 0.22
Total energy (eV/atom): -6.530
V (Å³/atom): 14.57
Formation energy without anion corrections (eV/atom): -2.095
Density of states at the Fermi level (states/eV/f.u.): 0.000
Symmetry: No. 146

Lattice parameters (Å, degrees): 9.2988 9.2988 9.2988 109.77 109.77 109.77
Closest atoms and distances in Å follow each position.
Atoms (fractional coordinates):
O1 0.0170 0.0643 0.7395  1 Si 1.62
O2 0.2040 0.8651 0.4453  1 Si 1.67
O3 0.8651 0.4453 0.2040  1 Si 1.67
O4 0.2953 0.3659 0.0385  1 Si 1.66
O5 0.0385 0.2953 0.3659  1 Si 1.66
O6 0.3559 0.3235 0.6412  1 Si 1.64
O7 0.9978 0.5785 0.5674  1 Si 1.66
O8 0.9708 0.9796 0.3132  1 Si 1.65
O9 0.3721 0.7554 0.0649  1 Si 1.68
O10 0.8295 0.6984 0.3929  1 Si 1.68
O11 0.6984 0.3929 0.8295  1 Si 1.68
O12 0.4453 0.2040 0.8651  1 Si 1.67
O13 0.5674 0.9978 0.5785  1 Si 1.66
O14 0.7554 0.0649 0.3721  1 Si 1.68
O15 0.3929 0.8295 0.6984  1 Si 1.68
O16 0.5785 0.5674 0.9978  1 Si 1.66
O17 0.9796 0.3132 0.9708  1 Si 1.65
O18 0.3235 0.6412 0.3559  1 Si 1.64
O19 0.6412 0.3559 0.3235  1 Si 1.64
O20 0.0643 0.7395 0.0170  1 Si 1.62
O21 0.3659 0.0385 0.2953  1 Si 1.66
O22 0.0649 0.3721 0.7554  1 Si 1.68
O23 0.3132 0.9708 0.9796  1 Si 1.65
O24 0.7395 0.0170 0.0643  1 Si 1.62
Li1 0.9588 0.4896 0.8767  3 O 1.90-2.10
Li2 0.2331 0.0845 0.4268  4 O 1.99-2.06
Li3 0.4896 0.8767 0.9588  3 O 1.90-2.10
Li4 0.0845 0.4268 0.2331  4 O 1.99-2.06
Li5 0.4268 0.2331 0.0845  4 O 1.99-2.06
Li6 0.8767 0.9588 0.4896  3 O 1.90-2.10
Bi1 0.4843 0.6457 0.2129  3 O 2.15-2.31
Bi2 0.6457 0.2129 0.4843  3 O 2.15-2.31
Bi3 0.6962 0.1635 0.9027  5 O 2.25-2.46
Bi4 0.9027 0.6962 0.1635  5 O 2.25-2.46
Bi5 0.2129 0.4843 0.6457  3 O 2.15-2.31
Bi6 0.1635 0.9027 0.6962  5 O 2.25-2.46
Si1 0.3733 0.8303 0.5128  4 O 1.64-1.68
Si2 0.2705 0.8725 0.0899  4 O 1.62-1.68
Si3 0.8303 0.5128 0.3733  4 O 1.64-1.68
Si4 0.0899 0.2705 0.8725  4 O 1.62-1.68
Si5 0.5128 0.3733 0.8303  4 O 1.64-1.68
Si6 0.8725 0.0899 0.2705  4 O 1.62-1.68